4
Lattice="3.534 -3.822 0.000 3.534 3.822 0.000 0.000 0.000 3.620" Properties=species:S:1:pos:R:3 comment="La2ReSe | the Alexandria database | PBE | relaxed" e_form_raw_mev_per_atom=-410.4 e_tot_ev_per_cell=-27.429 spacegroup=Cmmm pbc="T T T"
La 1.767 1.911 0.000
La 1.767 -1.911 0.000
Re 0.000 0.000 1.810
Se 3.534 0.000 1.810



9
Lattice="0.000 5.056 5.056 5.056 0.000 5.056 5.056 5.056 0.000" Properties=species:S:1:pos:R:3 comment="La6Al2O | the Alexandria database | PBE | relaxed" e_form_raw_mev_per_atom=-726.6 e_tot_ev_per_cell=-48.547 spacegroup=Fm-3m pbc="T T T"
La 5.056 5.056 2.508
La 5.056 2.508 5.056
La 7.603 5.056 5.056
La 2.508 5.056 5.056
La 5.056 7.603 5.056
La 5.056 5.056 7.603
Al 2.528 2.528 2.528
Al 7.584 7.584 7.584
O 0.000 0.000 0.000



4
Lattice="3.741 0.000 0.000 0.000 3.741 0.000 0.000 0.000 12.383" Properties=species:S:1:pos:R:3 comment="K2CaSb | the Alexandria database | PBE | relaxed" e_form_raw_mev_per_atom=-37.4 e_tot_ev_per_cell=-8.468 spacegroup=P4/mmm pbc="T T T"
K 0.000 0.000 2.398
K 0.000 0.000 9.986
Ca 1.870 1.870 6.192
Sb 1.870 1.870 0.000



5
Lattice="4.268 0.000 0.000 0.000 4.268 0.000 0.000 0.000 4.268" Properties=species:S:1:pos:R:3 comment="Ag3RhC | the Alexandria database | PBE | relaxed" e_tot_ev_per_cell=-20.324 spacegroup=Pm-3m formation_energy_ev_per_atom=0.9610 relative_energy_ev_per_atom=0.0000 pbc="T T T"
Ag 0.000 0.000 2.134
Ag 0.000 2.134 0.000
Ag 2.134 0.000 0.000
Rh 2.134 2.134 2.134
C 0.000 0.000 0.000



5
Lattice="6.363 0.000 0.000 0.000 6.363 0.000 0.000 0.000 4.373" Properties=species:S:1:pos:R:3 comment="Ba2PPtPb | the Alexandria database | PBE | relaxed" e_tot_ev_per_cell=-22.090 spacegroup=P4/mmm formation_energy_ev_per_atom=-0.6171 pbc="T T T"
Ba 0.000 3.182 0.000
Ba 3.182 0.000 0.000
P 0.000 0.000 0.000
Pt 0.000 0.000 2.186
Pb 3.182 3.182 2.186



4
Lattice="-1.405 2.223 4.728 1.405 -2.223 4.728 1.405 2.223 -4.728" Properties=species:S:1:pos:R:3 comment="TlCo2W | the Alexandria database | PBE | relaxed" e_tot_ev_per_cell=-26.987 spacegroup=Imm2 formation_energy_ev_per_atom=0.6361 relative_energy_ev_per_atom=0.2837 pbc="T T T"
Tl 0.000 0.000 0.000
Co 1.405 0.000 2.523
Co 0.000 0.000 4.592
W 0.000 2.223 2.038



6
Lattice="0.000 3.706 3.706 3.706 0.000 3.706 3.706 3.706 0.000" Properties=species:S:1:pos:R:3 comment="ErAgRh4 | the Alexandria database | PBE | relaxed" e_tot_ev_per_cell=-38.762 spacegroup=F-43m formation_energy_ev_per_atom=-0.3237 pbc="T T T"
Er 0.000 0.000 0.000
Ag 5.558 5.558 5.558
Rh 2.781 2.781 2.781
Rh 4.630 4.630 2.781
Rh 4.630 2.781 4.630
Rh 2.781 4.630 4.630



4
Lattice="2.692 0.000 0.000 0.000 2.692 0.000 0.000 0.000 7.987" Properties=species:S:1:pos:R:3 comment="MgCo2Ag | the Alexandria database | PBE | relaxed" e_tot_ev_per_cell=-17.218 spacegroup=P4/mmm formation_energy_ev_per_atom=0.3600 pbc="T T T"
Mg 0.000 0.000 0.000
Co 1.346 1.346 1.986
Co 1.346 1.346 6.001
Ag 0.000 0.000 3.994



12
Lattice="-2.724 3.865 8.190 2.724 -3.865 8.190 2.724 3.865 -8.190" Properties=species:S:1:pos:R:3 comment="Nd6MgCd5 | the Alexandria database | PBE | relaxed" e_tot_ev_per_cell=-38.188 spacegroup=Immm formation_energy_ev_per_atom=-0.2842 pbc="T T T"
Nd 2.724 1.924 -2.748
Nd 0.000 1.909 0.000
Nd 2.724 1.924 2.748
Nd 0.000 1.942 5.442
Nd 0.000 5.822 0.000
Nd 0.000 1.942 10.938
Mg 0.000 0.000 8.190
Cd 2.724 0.000 0.000
Cd 0.000 0.000 2.717
Cd 2.724 0.000 5.553
Cd 0.000 3.865 2.637
Cd 0.000 0.000 13.662



28
Lattice="7.855 0.000 0.000 0.000 4.876 0.000 0.000 0.000 10.074" Properties=species:S:1:pos:R:3 comment="HfGaCu5 | the Alexandria database | PBE | relaxed" e_tot_ev_per_cell=-137.472 spacegroup=Pnma formation_energy_ev_per_atom=-0.1295 pbc="T T T"
Hf 1.961 1.219 0.656
Hf 1.966 3.657 5.693
Hf 5.889 1.219 4.382
Hf 5.894 3.657 9.419
Ga 1.129 1.219 3.551
Ga 2.799 3.657 8.588
Ga 5.056 1.219 1.487
Ga 6.727 3.657 6.524
Cu 0.466 1.219 5.876
Cu 0.512 2.471 8.124
Cu 0.512 4.842 8.124
Cu 0.741 3.657 0.180
Cu 1.457 3.657 2.550
Cu 2.470 1.219 7.587
Cu 3.187 1.219 5.218
Cu 3.415 0.033 3.087
Cu 3.415 2.405 3.087
Cu 3.462 3.657 0.839
Cu 4.393 1.219 9.235
Cu 4.440 2.471 6.987
Cu 4.440 4.842 6.987
Cu 4.668 3.657 4.857
Cu 5.385 3.657 2.487
Cu 6.398 1.219 7.524
Cu 7.114 1.219 9.894
Cu 7.343 0.033 1.950
Cu 7.343 2.405 1.950
Cu 7.389 3.657 4.198



4
Lattice="4.927 0.000 0.000 0.000 4.927 0.000 0.000 0.000 4.241" Properties=species:S:1:pos:R:3 comment="Y2GePb | the Alexandria database | PBE | relaxed" e_tot_ev_per_cell=-23.250 spacegroup=P4/mmm formation_energy_ev_per_atom=-0.4990 pbc="T T T"
Y 0.000 2.463 0.000
Y 2.463 0.000 0.000
Ge 0.000 0.000 2.120
Pb 2.463 2.463 2.120



6
Lattice="4.600 0.000 0.000 0.000 4.600 0.000 0.000 0.000 5.611" Properties=species:S:1:pos:R:3 comment="CaSi2Pd2Pt | the Alexandria database | PBE | relaxed" e_form_raw_mev_per_atom=-436.7 e_tot_ev_per_cell=-31.894 spacegroup=P4/mmm pbc="T T T"
Ca 0.000 0.000 0.000
Si 0.000 2.300 2.806
Si 2.300 0.000 2.806
Pd 2.300 2.300 1.414
Pd 2.300 2.300 4.197
Pt 0.000 0.000 2.806